The following is a GGA-PBE calculation of a relaxed structure of NiB2Br2, from the Alexandria database.

```
data_NiB2Br2
_cell_length_a 3.004
_cell_length_b 3.004
_cell_length_c 16.466
_cell_angle_alpha 90.00
_cell_angle_beta 90.00
_cell_angle_gamma 90.00
_space_group_name_H-M_alt 'I 4/m m m'
_space_group_IT_number 139
_space_group_name_Hall '-I 4 2'
loop_
_atom_site_label
_atom_site_type_symbol
_atom_site_fract_x
_atom_site_fract_y
_atom_site_fract_z
Ni1 Ni 0.000 0.000 0.000
B1 B 0.000 0.500 0.250
Br1 Br 0.000 0.000 0.399
```

Properties
- ρ: 5.37 Mg/m³
- DOS at the Fermi energy: 7.5 states/eV per cell
- Volume: 14.857 Å³/atom
- E_tot: -3.282 eV/atom
- Total magnetic moment: 0.77 μB per formula unit